The following is a PBE with a Hubbard U calculation of a relaxed structure of PmPr2WO8, from Alexandria via LeMat-Bulk.

Output
The total energy is -7.80 eV/atom.

Lattice parameters (Å, degrees): 7.3877 7.4635 7.0825 90.00 90.00 90.00
Space group Cmmm (No. 65)
Symmetry-distinct sites (fractional):
Pm (0.0000, 0.0000, 0.0000) x2
Pr (0.0000, 0.5000, 0.2534) x4
W (0.0000, 0.0000, 0.5000) x2
O (0.0000, 0.1771, 0.2946) x8
O (0.1937, 0.5000, 0.0000) x4
O (0.2361, 0.5000, 0.5000) x4